Material: ZrZn2Rh
Method: DFT, SCAN
State: PBEsol geometry

Geometry as CIF:
```
data_ZrZn2Rh
_chemical_formula_sum 'Zr1 Zn2 Rh1'
_cell_length_a 3.073
_cell_length_b 3.073
_cell_length_c 6.582
_cell_angle_alpha 90.00
_cell_angle_beta 90.00
_cell_angle_gamma 90.00
_symmetry_space_group_name_H-M 'P 1'
_symmetry_Int_Tables_number 1
loop_
_symmetry_equiv_pos_as_xyz
'x,y,z'
loop_
_atom_site_label
_atom_site_fract_x
_atom_site_fract_y
_atom_site_fract_z
_atom_site_occupancy
Zr1 0.000 0.000 0.000 1
Zn1 0.000 0.000 0.476 1
Zn2 0.500 0.500 0.695 1
Rh1 0.500 0.500 0.253 1
```

Calculated values
DOS at the Fermi energy ... 2.817 states/eV per cell
Energy of formation ... -0.46 eV per atom
Space-group type ... P4mm, No. 99
Size of the total moment ... 0.00 μB per cell

=====

Material: Zr3ZnRh
Method: DFT, SCAN
State: PBEsol geometry

Geometry as CIF:
```
data_Zr3ZnRh
_chemical_formula_sum 'Zr3 Zn1 Rh1'
_cell_length_a 4.925
_cell_length_b 4.925
_cell_length_c 4.925
_cell_angle_alpha 90.00
_cell_angle_beta 90.00
_cell_angle_gamma 90.00
_symmetry_space_group_name_H-M 'P 1'
_symmetry_Int_Tables_number 1
loop_
_symmetry_equiv_pos_as_xyz
'x,y,z'
loop_
_atom_site_label
_atom_site_fract_x
_atom_site_fract_y
_atom_site_fract_z
_atom_site_occupancy
Zr1 0.000 0.000 0.500 1
Zr2 0.000 0.500 0.000 1
Zr3 0.500 0.000 0.000 1
Zn1 0.500 0.500 0.500 1
Rh1 0.000 0.000 0.000 1
```

Calculated values
DOS at the Fermi energy ... 8.088 states/eV per cell
Energy of formation ... 0.20 eV per atom
Space-group type ... Pm-3m, No. 221
Size of the total moment ... 0.00 μB per cell

=====

Material: Zr2ZnRh2
Method: DFT, SCAN
State: PBEsol geometry

Geometry as CIF:
```
data_Zr2ZnRh2
_chemical_formula_sum 'Zr4 Zn2 Rh4'
_cell_length_a 7.198
_cell_length_b 7.198
_cell_length_c 3.339
_cell_angle_alpha 90.00
_cell_angle_beta 90.00
_cell_angle_gamma 90.00
_symmetry_space_group_name_H-M 'P 1'
_symmetry_Int_Tables_number 1
loop_
_symmetry_equiv_pos_as_xyz
'x,y,z'
loop_
_atom_site_label
_atom_site_fract_x
_atom_site_fract_y
_atom_site_fract_z
_atom_site_occupancy
Zr1 0.169 0.331 0.000 1
Zr2 0.331 0.831 0.000 1
Zr3 0.669 0.169 0.000 1
Zr4 0.831 0.669 0.000 1
Zn1 0.000 0.000 0.500 1
Zn2 0.500 0.500 0.500 1
Rh1 0.135 0.635 0.500 1
Rh2 0.365 0.135 0.500 1
Rh3 0.635 0.865 0.500 1
Rh4 0.865 0.365 0.500 1
```

Calculated values
DOS at the Fermi energy ... 8.178 states/eV per cell
Energy of formation ... -0.73 eV per atom
Space-group type ... P4/mbm, No. 127
Size of the total moment ... 0.00 μB per cell

=====

Material: Zr2ZnRh
Method: DFT, SCAN
State: PBEsol geometry

Geometry as CIF:
```
data_Zr2ZnRh
_chemical_formula_sum 'Zr2 Zn1 Rh1'
_cell_length_a 4.200
_cell_length_b 5.370
_cell_length_c 5.370
_cell_angle_alpha 36.21
_cell_angle_beta 90.00
_cell_angle_gamma 90.00
_symmetry_space_group_name_H-M 'P 1'
_symmetry_Int_Tables_number 1
loop_
_symmetry_equiv_pos_as_xyz
'x,y,z'
loop_
_atom_site_label
_atom_site_fract_x
_atom_site_fract_y
_atom_site_fract_z
_atom_site_occupancy
Zr1 0.000 0.000 0.000 1
Zr2 0.500 0.294 0.294 1
Zn1 0.500 0.570 0.570 1
Rh1 0.000 0.733 0.733 1
```

Calculated values
DOS at the Fermi energy ... 3.390 states/eV per cell
Energy of formation ... -0.63 eV per atom
Space-group type ... Amm2, No. 38
Size of the total moment ... 0.00 μB per cell

=====

Material: Zr2ZnRh
Method: DFT, SCAN
State: PBEsol geometry

Geometry as CIF:
```
data_Zr2ZnRh
_chemical_formula_sum 'Zr2 Zn1 Rh1'
_cell_length_a 3.241
_cell_length_b 3.241
_cell_length_c 6.656
_cell_angle_alpha 90.00
_cell_angle_beta 90.00
_cell_angle_gamma 90.00
_symmetry_space_group_name_H-M 'P 1'
_symmetry_Int_Tables_number 1
loop_
_symmetry_equiv_pos_as_xyz
'x,y,z'
loop_
_atom_site_label
_atom_site_fract_x
_atom_site_fract_y
_atom_site_fract_z
_atom_site_occupancy
Zr1 0.000 0.000 0.000 1
Zr2 0.500 0.500 0.308 1
Zn1 0.500 0.500 0.739 1
Rh1 0.000 0.000 0.536 1
```

Calculated values
DOS at the Fermi energy ... 1.869 states/eV per cell
Energy of formation ... -0.51 eV per atom
Space-group type ... P4mm, No. 99
Size of the total moment ... 0.00 μB per cell

=====

Material: ZrZn2Rh
Method: DFT, SCAN
State: PBEsol geometry

Geometry as CIF:
```
data_ZrZn2Rh
_chemical_formula_sum 'Zr1 Zn2 Rh1'
_cell_length_a 3.082
_cell_length_b 3.082
_cell_length_c 6.456
_cell_angle_alpha 90.00
_cell_angle_beta 90.00
_cell_angle_gamma 90.00
_symmetry_space_group_name_H-M 'P 1'
_symmetry_Int_Tables_number 1
loop_
_symmetry_equiv_pos_as_xyz
'x,y,z'
loop_
_atom_site_label
_atom_site_fract_x
_atom_site_fract_y
_atom_site_fract_z
_atom_site_occupancy
Zr1 0.000 0.000 0.000 1
Zn1 0.500 0.500 0.290 1
Zn2 0.500 0.500 0.710 1
Rh1 0.000 0.000 0.500 1
```

Calculated values
DOS at the Fermi energy ... 2.830 states/eV per cell
Energy of formation ... -0.39 eV per atom
Space-group type ... P4/mmm, No. 123
Size of the total moment ... 0.00 μB per cell